Record 1
A geometry-optimized VSN2O structure, computed with PBE+U.

Summary:
VASP energy: -0.1812 hartree per atom
Space group: No. 123

Cell lengths 3.797, 3.797, 3.650 Å; angles 90.00, 90.00, 90.00 degrees
Each line ends with the local moment (μB).
Fractional coordinates of all 5 atoms:
S1 0.000 0.000 0.500  -0.12
N1 0.000 0.500 0.000  -0.30
N2 0.500 0.000 0.000  -0.30
O1 0.000 0.000 0.000  0.04
V1 0.500 0.500 0.500  2.18

***

Record 2
A geometry-optimized VSN2O structure, computed with PBE+U.

Summary:
VASP energy: -0.1987 hartree per atom
Space group: No. 123

Cell lengths 3.616, 3.616, 5.122 Å; angles 90.00, 90.00, 90.00 degrees
Each line ends with the local moment (μB).
Fractional coordinates of all 5 atoms:
S1 0.000 0.000 0.500  -0.01
N1 0.000 0.500 0.000  -0.01
N2 0.500 0.000 0.000  -0.01
O1 0.500 0.500 0.500  0.14
V1 0.000 0.000 0.000  0.00

***

Record 3
A geometry-optimized VS2NO structure, computed with PBE+U.

Summary:
VASP energy: -0.1568 hartree per atom
Space group: No. 123

Cell lengths 3.991, 3.991, 3.816 Å; angles 90.00, 90.00, 90.00 degrees
Each line ends with the local moment (μB).
Fractional coordinates of all 5 atoms:
S1 0.000 0.500 0.000  0.03
S2 0.500 0.000 0.000  0.03
N1 0.000 0.000 0.500  -0.07
O1 0.000 0.000 0.000  0.01
V1 0.500 0.500 0.500  -0.17

***

Record 4
A geometry-optimized VSNO2 structure, computed with PBE+U.

Summary:
VASP energy: -0.2050 hartree per atom
Space group: No. 123

Cell lengths 3.793, 3.793, 3.526 Å; angles 90.00, 90.00, 90.00 degrees
Each line ends with the local moment (μB).
Fractional coordinates of all 5 atoms:
S1 0.000 0.000 0.000  0.01
N1 0.000 0.000 0.500  -0.11
O1 0.000 0.500 0.000  -0.03
O2 0.500 0.000 0.000  -0.03
V1 0.500 0.500 0.500  2.53

***

Record 5
A geometry-optimized VSN2O structure, computed with PBE+U.

Summary:
VASP energy: -0.2128 hartree per atom
Space group: No. 123

Cell lengths 3.976, 3.976, 3.579 Å; angles 90.00, 90.00, 90.00 degrees
Each line ends with the local moment (μB).
Fractional coordinates of all 5 atoms:
S1 0.500 0.500 0.500  0.10
N1 0.000 0.500 0.000  -0.07
N2 0.500 0.000 0.000  -0.07
O1 0.000 0.000 0.500  -0.02
V1 0.000 0.000 0.000  0.10

***

Record 6
A geometry-optimized VSNO2 structure, computed with PBE+U.

Summary:
VASP energy: -0.2152 hartree per atom
Space group: No. 123

Cell lengths 3.643, 3.643, 4.320 Å; angles 90.00, 90.00, 90.00 degrees
Each line ends with the local moment (μB).
Fractional coordinates of all 5 atoms:
S1 0.500 0.500 0.500  0.67
N1 0.000 0.000 0.500  -0.20
O1 0.000 0.500 0.000  -0.03
O2 0.500 0.000 0.000  -0.03
V1 0.000 0.000 0.000  0.58

***

Record 7
A geometry-optimized VS2NO structure, computed with PBE+U.

Summary:
VASP energy: -0.1746 hartree per atom
Space group: No. 123

Cell lengths 4.586, 4.586, 3.704 Å; angles 90.00, 90.00, 90.00 degrees
Each line ends with the local moment (μB).
Fractional coordinates of all 5 atoms:
S1 0.000 0.500 0.000  0.33
S2 0.500 0.000 0.000  0.33
N1 0.000 0.000 0.500  0.61
O1 0.500 0.500 0.500  0.37
V1 0.000 0.000 0.000  -0.91

***

Record 8
A geometry-optimized VS2NO structure, computed with PBE+U.

Summary:
VASP energy: -0.1861 hartree per atom
Space group: No. 123

Cell lengths 4.730, 3.613, 4.730 Å; angles 90.00, 90.00, 90.00 degrees
Each line ends with the local moment (μB).
Fractional coordinates of all 5 atoms:
S1 0.000 0.000 0.500  -0.39
S2 0.500 0.000 0.000  -0.40
N1 0.500 0.500 0.500  1.55
O1 0.000 0.500 0.000  -0.16
V1 0.000 0.000 0.000  1.03